No. 1
First-principles (PBE) data for an optimized crystal structure of DyHfZn2In, as listed in OQMD.

The calculation puts the size of the total moment at 0.02 μB/f.u. The calculation puts the raw total energy at -42.49 eV for the cell shown.

The space group is Amm2 (No. 38) and the conventional cell measures 3.276, 4.381 and 14.151 Å, with angles of 90.00, 90.00 and 90.00 degrees. The inequivalent atoms are Dy at (0.000, 0.000, 0.000), Hf at (0.000, 0.000, 0.245), Zn at (0.500, 0.000, 0.411), Zn at (0.500, 0.000, 0.819) and In at (0.500, 0.000, 0.626).


No. 2
First-principles (PBE) data for an optimized crystal structure of NdHoSbBr2, as listed in OQMD.

The calculation puts the size of the total moment at 0.00 μB/f.u. The calculation puts the raw total energy at -24.23 eV for the cell shown.

The space group is P3m1 (No. 156) and the conventional cell measures 4.2805, 4.2805 and 10.9321 Å, with angles of 90.00, 90.00 and 120.00 degrees. The inequivalent atoms are Nd at (0.0000, 0.0000, 0.0000), Ho at (0.3333, 0.6667, 0.3225), Sb at (0.6667, 0.3333, 0.1697), Br at (0.0000, 0.0000, 0.4755) and Br at (0.3333, 0.6667, 0.8363).


No. 3
First-principles (PBE) data for an optimized crystal structure of TaSiSn, as listed in OQMD.

The calculation puts the size of the total moment at 0.05 μB/f.u. The calculation puts the raw total energy at -78.38 eV for the cell shown.

The space group is F-43m (No. 216) and the conventional cell measures 6.271, 6.271 and 6.271 Å, with angles of 90.00, 90.00 and 90.00 degrees. The inequivalent atoms are Ta at (0.000, 0.000, 0.000), Si at (0.250, 0.250, 0.750) and Sn at (0.000, 0.000, 0.500).


No. 4
First-principles (PBE) data for an optimized crystal structure of Sm5Sc, as listed in OQMD.

The calculation puts the size of the total moment at 0.00 μB/f.u. The calculation puts the formation energy at 3.4 kJ per mole of atoms. The calculation puts the raw total energy at -29.67 eV for the cell shown.

The space group is P-62m (No. 189) and the conventional cell measures 6.2558, 6.2558 and 5.7091 Å, with angles of 90.00, 90.00 and 120.00 degrees. The inequivalent atoms are Sm at (0.0000, 0.6779, 0.0000), Sm at (0.3333, 0.6667, 0.5000) and Sc at (0.0000, 0.0000, 0.5000).


No. 5
First-principles (PBE) data for an optimized crystal structure of TmPaPd, as listed in OQMD.

The calculation puts the size of the total moment at 1.29 μB/f.u. The calculation puts the formation energy at -1.7 kJ per mole of atoms. The calculation puts the raw total energy at -76.79 eV for the cell shown.

The space group is F-43m (No. 216) and the conventional cell measures 6.829, 6.829 and 6.829 Å, with angles of 90.00, 90.00 and 90.00 degrees. The inequivalent atoms are Tm at (0.000, 0.000, 0.000), Pa at (0.000, 0.000, 0.500) and Pd at (0.250, 0.250, 0.750).


No. 6
First-principles (PBE) data for an optimized crystal structure of Rb2PrO3, as listed in OQMD.

The calculation puts the size of the total moment at 1.00 μB/f.u. The calculation puts the raw total energy at -129.96 eV for the cell shown.

The space group is Cmcm (No. 63) and the conventional cell measures 11.213, 7.373 and 6.416 Å, with angles of 90.00, 90.00 and 90.00 degrees. The inequivalent atoms are Rb at (0.173, 0.157, 0.250), Pr at (0.000, 0.393, 0.750), O at (0.000, 0.093, 0.750) and O at (0.134, 0.500, 0.000).